# 1
Material: Sc2FeRuAu
Method: DFT, PBE-GGA
State: optimized geometry

For the energy of formation from the pure elements, the calculation gives 0.64 eV/f.u. As for the energy: -6.609 eV per atom.

It has space group P4/mmm (No. 123), with a = 4.7655 Å, b = 4.7655 Å, c = 4.3049 Å, α = 90.00°, β = 90.00° and γ = 90.00°. The asymmetric unit holds Sc at (0.0000, 0.5000, 0.0000), Fe at (0.0000, 0.0000, 0.0000), Ru at (0.0000, 0.0000, 0.5000) and Au at (0.5000, 0.5000, 0.5000).



# 2
Material: Fe2RuAuSe
Method: DFT, PBE-GGA
State: optimized geometry

As for the energy: -5.489 eV per atom. The uncorrected formation energy is 1.103 eV/atom.

It has space group P4/mmm (No. 123), with a = 4.3731 Å, b = 4.3731 Å, c = 4.8123 Å, α = 90.00°, β = 90.00° and γ = 90.00°. The asymmetric unit holds Fe at (0.0000, 0.5000, 0.0000), Ru at (0.0000, 0.0000, 0.5000), Au at (0.5000, 0.5000, 0.5000) and Se at (0.5000, 0.5000, 0.0000).



# 3
Material: FeTc2RuAu
Method: DFT, PBE-GGA
State: optimized geometry

For the energy of formation from the pure elements, the calculation gives 6.26 eV/f.u. As for the energy: -7.097 eV per atom.

It has space group P4/mmm (No. 123), with a = 4.3878 Å, b = 4.3878 Å, c = 4.4160 Å, α = 90.00°, β = 90.00° and γ = 90.00°. The asymmetric unit holds Fe at (0.0000, 0.0000, 0.0000), Tc at (0.0000, 0.5000, 0.0000), Ru at (0.0000, 0.0000, 0.5000) and Au at (0.5000, 0.5000, 0.5000).



# 4
Material: ZnFeRuAu
Method: DFT, PBE-GGA
State: optimized geometry

For the energy of formation from the pure elements, the calculation gives 0.33 eV/f.u. As for the energy: -5.491 eV per atom.

It has space group F-43m (No. 216), with a = 6.1508 Å, b = 6.1508 Å, c = 6.1508 Å, α = 90.00°, β = 90.00° and γ = 90.00°. The asymmetric unit holds Zn at (0.0000, 0.0000, 0.0000), Fe at (0.0000, 0.0000, 0.5000), Ru at (0.2500, 0.2500, 0.2500) and Au at (0.2500, 0.2500, 0.7500).



# 5
Material: ZnFeRu2Au
Method: DFT, PBE-GGA
State: optimized geometry

For the energy of formation from the pure elements, the calculation gives 5.77 eV/f.u. As for the energy: -5.159 eV per atom.

It has space group P4/mmm (No. 123), with a = 4.3460 Å, b = 4.3460 Å, c = 4.8048 Å, α = 90.00°, β = 90.00° and γ = 90.00°. The asymmetric unit holds Zn at (0.0000, 0.0000, 0.0000), Fe at (0.5000, 0.5000, 0.5000), Ru at (0.0000, 0.5000, 0.5000) and Au at (0.5000, 0.5000, 0.0000).



# 6
Material: Fe3AuS
Method: DFT, PBE-GGA
State: optimized geometry

As for the energy: -5.199 eV per atom. The uncorrected formation energy is 1.360 eV/atom.

It has space group Pm-3m (No. 221), with a = 4.7647 Å, b = 4.7647 Å, c = 4.7647 Å, α = 90.00°, β = 90.00° and γ = 90.00°. The asymmetric unit holds Fe at (0.0000, 0.0000, 0.5000), Au at (0.0000, 0.0000, 0.0000) and S at (0.5000, 0.5000, 0.5000).



no.,Fermi-level density of states (states/eV per cell)
1,3.7
2,5.5
3,6.7
4,9.5
5,7.1
6,6.8